The following is a DFT calculation (GGA-PBE) of a relaxed Sr2TaTl2S6 crystal.

## Properties
- E_form (uncorrected): -1.116 eV per atom
- N(E_F): 5.2 states/eV per cell

Geometry as CIF:
```
data_Sr2TaTl2S6
_chemical_formula_sum 'Sr4 Ta2 Tl4 S12'
_cell_length_a 7.300
_cell_length_b 12.242
_cell_length_c 7.267
_cell_angle_alpha 90.00
_cell_angle_beta 106.92
_cell_angle_gamma 90.00
_space_group_name_H-M_alt 'C 1 2/m 1'
_space_group_IT_number 12
_space_group_name_Hall '-C 2y'
loop_
_atom_site_label
_atom_site_type_symbol
_atom_site_fract_x
_atom_site_fract_y
_atom_site_fract_z
Sr1 Sr 0.000 0.166 0.000
Ta1 Ta 0.000 0.500 0.000
Tl1 Tl 0.000 0.341 0.500
S1 S 0.203 0.358 0.205
S2 S 0.213 0.500 0.787
```



The following is a DFT calculation (GGA-PBE) of a relaxed Cd4Hg5Bi2 crystal.

## Properties
- ΔE_f: 53 meV per atom
- N(E_F): 6.7 states/eV per cell

Geometry as CIF:
```
data_Cd4Hg5Bi2
_chemical_formula_sum 'Cd8 Hg10 Bi4'
_cell_length_a 19.181
_cell_length_b 4.584
_cell_length_c 6.942
_cell_angle_alpha 90.00
_cell_angle_beta 107.53
_cell_angle_gamma 90.00
_space_group_name_H-M_alt 'C 1 2/m 1'
_space_group_IT_number 12
_space_group_name_Hall '-C 2y'
loop_
_atom_site_label
_atom_site_type_symbol
_atom_site_fract_x
_atom_site_fract_y
_atom_site_fract_z
Cd1 Cd 0.045 0.000 0.255
Cd2 Cd 0.192 0.500 0.431
Hg1 Hg 0.000 0.500 0.500
Hg2 Hg 0.138 0.000 0.684
Hg3 Hg 0.227 0.000 0.133
Bi1 Bi 0.087 0.500 0.996
```



The following is a DFT calculation (GGA-PBE) of a relaxed NaBiPb crystal.

## Properties
- ΔE_f: -153 meV per atom
- N(E_F): 2.1 states/eV per cell
- ΔE to the lowest computed polymorph: 0.052 eV/atom

Geometry as CIF:
```
data_NaBiPb
_chemical_formula_sum 'Na1 Bi1 Pb1'
_cell_length_a 5.6084
_cell_length_b 5.6084
_cell_length_c 3.4632
_cell_angle_alpha 90.00
_cell_angle_beta 90.00
_cell_angle_gamma 120.00
_space_group_name_H-M_alt 'P 3 m 1'
_space_group_IT_number 156
_space_group_name_Hall 'P 3 -2"'
loop_
_atom_site_label
_atom_site_type_symbol
_atom_site_fract_x
_atom_site_fract_y
_atom_site_fract_z
Na1 Na 0.0000 0.0000 0.0000
Bi1 Bi 0.6667 0.3333 0.5024
Pb1 Pb 0.3333 0.6667 0.5016
```



The following is a DFT calculation (GGA-PBE) of a relaxed La8PmNd4 crystal.

## Properties
- ΔE_f: 348 meV per atom
- N(E_F): 79.3 states/eV per cell

Geometry as CIF:
```
data_La8PmNd4
_chemical_formula_sum 'La24 Pm3 Nd12'
_cell_length_a 11.9658
_cell_length_b 11.9658
_cell_length_c 11.9684
_cell_angle_alpha 90.00
_cell_angle_beta 90.00
_cell_angle_gamma 120.00
_space_group_name_H-M_alt 'R -3 m'
_space_group_IT_number 166
_space_group_name_Hall '-R 3 2"'
loop_
_atom_site_label
_atom_site_type_symbol
_atom_site_fract_x
_atom_site_fract_y
_atom_site_fract_z
La1 La 0.0000 0.0000 0.2392
La2 La 0.0034 0.5017 0.6695
Pm1 Pm 0.0000 0.0000 0.5000
Nd1 Nd 0.0000 0.0000 0.0000
Nd2 Nd 0.0000 0.5000 0.0000
```



The following is a DFT calculation (GGA-PBE) of a relaxed BeCu2Pd crystal.

## Properties
- ΔE_f: -246 meV per atom
- N(E_F): 4.9 states/eV per cell

Geometry as CIF:
```
data_BeCu2Pd
_chemical_formula_sum 'Be4 Cu8 Pd4'
_cell_length_a 5.301
_cell_length_b 5.309
_cell_length_c 7.191
_cell_angle_alpha 90.00
_cell_angle_beta 111.41
_cell_angle_gamma 90.00
_space_group_name_H-M_alt 'C 1 2/m 1'
_space_group_IT_number 12
_space_group_name_Hall '-C 2y'
loop_
_atom_site_label
_atom_site_type_symbol
_atom_site_fract_x
_atom_site_fract_y
_atom_site_fract_z
Be1 Be 0.000 0.249 0.000
Cu1 Cu 0.139 0.000 0.776
Cu2 Cu 0.250 0.250 0.500
Pd1 Pd 0.144 0.500 0.787
```



The following is a DFT calculation (GGA-PBE) of a relaxed SiTeW2 crystal.

## Properties
- E_form (uncorrected): 0.338 eV per atom
- N(E_F): 2.4 states/eV per cell
- ΔE to the lowest computed polymorph: 0.045 eV/atom

Geometry as CIF:
```
data_SiTeW2
_chemical_formula_sum 'Si2 Te2 W4'
_cell_length_a 8.957
_cell_length_b 3.311
_cell_length_c 4.790
_cell_angle_alpha 90.00
_cell_angle_beta 106.95
_cell_angle_gamma 90.00
_space_group_name_H-M_alt 'C 1 m 1'
_space_group_IT_number 8
_space_group_name_Hall 'C -2y'
loop_
_atom_site_label
_atom_site_type_symbol
_atom_site_fract_x
_atom_site_fract_y
_atom_site_fract_z
Si1 Si 0.000 0.000 0.000
Te1 Te 0.260 0.500 0.364
W1 W 0.011 0.500 0.568
W2 W 0.270 0.000 0.906
```



The following is a DFT calculation (GGA-PBE) of a relaxed Mg2NiHgGe crystal.

## Properties
- ΔE_f: -69 meV per atom
- N(E_F): 1.0 states/eV per cell

Geometry as CIF:
```
data_Mg2NiHgGe
_chemical_formula_sum 'Mg2 Ni1 Hg1 Ge1'
_cell_length_a 4.975
_cell_length_b 4.975
_cell_length_c 4.362
_cell_angle_alpha 90.00
_cell_angle_beta 90.00
_cell_angle_gamma 90.00
_space_group_name_H-M_alt 'P 4/m m m'
_space_group_IT_number 123
_space_group_name_Hall '-P 4 2'
loop_
_atom_site_label
_atom_site_type_symbol
_atom_site_fract_x
_atom_site_fract_y
_atom_site_fract_z
Mg1 Mg 0.000 0.500 0.000
Ni1 Ni 0.000 0.000 0.000
Hg1 Hg 0.500 0.500 0.500
Ge1 Ge 0.000 0.000 0.500
```



The following is a DFT calculation (GGA-PBE) of a relaxed PaZnH2 crystal.

## Properties
- N(E_F): 16.1 states/eV per cell
- ΔE to the lowest computed polymorph: 0.000 eV/atom

Geometry as CIF:
```
data_PaZnH2
_chemical_formula_sum 'Pa4 Zn4 H8'
_cell_length_a 4.167
_cell_length_b 11.220
_cell_length_c 4.067
_cell_angle_alpha 90.00
_cell_angle_beta 90.00
_cell_angle_gamma 90.00
_space_group_name_H-M_alt 'C m c m'
_space_group_IT_number 63
_space_group_name_Hall '-C 2c 2'
loop_
_atom_site_label
_atom_site_type_symbol
_atom_site_fract_x
_atom_site_fract_y
_atom_site_fract_z
Pa1 Pa 0.000 0.149 0.250
Zn1 Zn 0.000 0.432 0.250
H1 H 0.000 0.054 0.750
H2 H 0.000 0.252 0.750
```



The following is a DFT calculation (GGA-PBE) of a relaxed Gd2NiAu crystal.

## Properties
- ΔE_f: -569 meV per atom
- N(E_F): 3.9 states/eV per cell

Geometry as CIF:
```
data_Gd2NiAu
_chemical_formula_sum 'Gd2 Ni1 Au1'
_cell_length_a 3.519
_cell_length_b 3.519
_cell_length_c 7.140
_cell_angle_alpha 90.00
_cell_angle_beta 90.00
_cell_angle_gamma 90.00
_space_group_name_H-M_alt 'P 4/m m m'
_space_group_IT_number 123
_space_group_name_Hall '-P 4 2'
loop_
_atom_site_label
_atom_site_type_symbol
_atom_site_fract_x
_atom_site_fract_y
_atom_site_fract_z
Gd1 Gd 0.000 0.000 0.233
Ni1 Ni 0.500 0.500 0.000
Au1 Au 0.500 0.500 0.500
```



The following is a DFT calculation (GGA-PBE) of a relaxed SrLi5Cu2 crystal.

## Properties
- ΔE_f: 1 meV per atom
- N(E_F): 5.2 states/eV per cell

Geometry as CIF:
```
data_SrLi5Cu2
_chemical_formula_sum 'Sr2 Li10 Cu4'
_cell_length_a 4.182
_cell_length_b 8.002
_cell_length_c 9.930
_cell_angle_alpha 90.00
_cell_angle_beta 90.00
_cell_angle_gamma 90.00
_space_group_name_H-M_alt 'I m m m'
_space_group_IT_number 71
_space_group_name_Hall '-I 2 2'
loop_
_atom_site_label
_atom_site_type_symbol
_atom_site_fract_x
_atom_site_fract_y
_atom_site_fract_z
Sr1 Sr 0.000 0.000 0.000
Li1 Li 0.000 0.181 0.334
Li2 Li 0.000 0.500 0.000
Cu1 Cu 0.000 0.500 0.256
```



The following is a DFT calculation (GGA-PBE) of a relaxed LaZrI2O crystal.

## Properties
- E_form (uncorrected): -0.849 eV per atom
- N(E_F): 2.9 states/eV per cell
- ΔE to the lowest computed polymorph: 0.354 eV/atom

Geometry as CIF:
```
data_LaZrI2O
_chemical_formula_sum 'La1 Zr1 I2 O1'
_cell_length_a 6.467
_cell_length_b 6.467
_cell_length_c 4.244
_cell_angle_alpha 90.00
_cell_angle_beta 90.00
_cell_angle_gamma 90.00
_space_group_name_H-M_alt 'P 4/m m m'
_space_group_IT_number 123
_space_group_name_Hall '-P 4 2'
loop_
_atom_site_label
_atom_site_type_symbol
_atom_site_fract_x
_atom_site_fract_y
_atom_site_fract_z
La1 La 0.000 0.000 0.000
Zr1 Zr 0.500 0.500 0.500
I1 I 0.000 0.500 0.000
O1 O 0.000 0.000 0.500
```



The following is a DFT calculation (GGA-PBE) of a relaxed AlSeCl2 crystal.

## Properties
- E_form (uncorrected): 0.219 eV per atom
- N(E_F): 2.8 states/eV per cell
- ΔE to the lowest computed polymorph: 1.127 eV/atom

Geometry as CIF:
```
data_AlSeCl2
_chemical_formula_sum 'Al1 Se1 Cl2'
_cell_length_a 3.183
_cell_length_b 4.058
_cell_length_c 6.235
_cell_angle_alpha 90.00
_cell_angle_beta 90.00
_cell_angle_gamma 90.00
_space_group_name_H-M_alt 'P m m m'
_space_group_IT_number 47
_space_group_name_Hall '-P 2 2'
loop_
_atom_site_label
_atom_site_type_symbol
_atom_site_fract_x
_atom_site_fract_y
_atom_site_fract_z
Al1 Al 0.000 0.000 0.000
Se1 Se 0.000 0.000 0.500
Cl1 Cl 0.500 0.500 0.232
```



Which formula does entry 4 have? La8PmNd4



The lowest N(E_F) belongs to which entry? Mg2NiHgGe